1.
Here is a relaxed OsRuRh2 crystal from Alexandria via LeMat-Bulk. Energies are from GGA-PBEsol.

a b c (Å): 2.6723 3.7783 5.3632
angles (deg): 90.00 90.00 90.00
Space group Pmm2 (No. 25)
Symmetry-distinct sites (fractional):
Os1 0.0000 0.0000 0.0000
Ru1 0.5000 0.5000 0.7586
Rh1 0.0000 0.0000 0.5057
Rh2 0.5000 0.5000 0.2528

Properties
Uncorrected energy = -9.627 eV/atom
Excess energy over the best structure of this formula in the dataset = 5.4 meV per atom
DOS(E_F) = 3.97 states/eV/cell
DFT formation energy = 39 meV/atom

---

2.
Here is a relaxed KInRu crystal from Alexandria via LeMat-Bulk. Energies are from GGA-PBEsol.

a b c (Å): 2.9839 2.9839 14.7992
angles (deg): 90.00 90.00 90.00
Space group I4mm (No. 107)
Symmetry-distinct sites (fractional):
K1 0.0000 0.0000 0.0000
In1 0.0000 0.0000 0.2979
Ru1 0.0000 0.0000 0.6749

Properties
Uncorrected energy = -4.097 eV/atom
Excess energy over the best structure of this formula in the dataset = 0.0 meV per atom
DOS(E_F) = 5.03 states/eV/cell
DFT formation energy = 666 meV/atom

---

3.
Here is a relaxed SrNdCoO4 crystal from Alexandria via LeMat-Bulk. Energies are from GGA-PBEsol.

a b c (Å): 3.7382 3.7382 12.1629
angles (deg): 90.00 90.00 90.00
Space group I4mm (No. 107)
Symmetry-distinct sites (fractional):
Sr1 0.0000 0.0000 0.0000
Nd1 0.0000 0.0000 0.2800
Co1 0.0000 0.0000 0.6334
O1 0.0000 0.0000 0.4742
O2 0.0000 0.0000 0.8009
O3 0.0000 0.5000 0.1516

Properties
Uncorrected formation energy = -2.435 eV per atom
Uncorrected energy = -7.541 eV/atom
Excess energy over the best structure of this formula in the dataset = 0.0 meV per atom
DOS(E_F) = 5.69 states/eV/cell

---

4.
Here is a relaxed LiNiHg2P crystal from Alexandria via LeMat-Bulk. Energies are from GGA-PBEsol.

a b c (Å): 4.9378 4.9378 4.2021
angles (deg): 90.00 90.00 90.00
Space group P4/mmm (No. 123)
Symmetry-distinct sites (fractional):
Li1 0.0000 0.0000 0.0000
Ni1 0.5000 0.5000 0.5000
Hg1 0.0000 0.5000 0.5000
P1 0.5000 0.5000 0.0000

Properties
Uncorrected energy = -2.991 eV/atom
DOS(E_F) = 2.03 states/eV/cell
DFT formation energy = 19 meV/atom

---

5.
Here is a relaxed BaTlRuCl2 crystal from Alexandria via LeMat-Bulk. Energies are from GGA-PBEsol.

a b c (Å): 5.8259 5.8259 5.4268
angles (deg): 90.00 90.00 90.00
Space group P4/mmm (No. 123)
Symmetry-distinct sites (fractional):
Ba1 0.0000 0.0000 0.0000
Tl1 0.5000 0.5000 0.5000
Ru1 0.0000 0.0000 0.5000
Cl1 0.0000 0.5000 0.0000

Properties
Uncorrected formation energy = 0.119 eV per atom
Uncorrected energy = -3.675 eV/atom
DOS(E_F) = 5.15 states/eV/cell

---

6.
Here is a relaxed ReIrRh crystal from Alexandria via LeMat-Bulk. Energies are from GGA-PBEsol.

a b c (Å): 2.6938 3.8309 8.1141
angles (deg): 90.00 90.00 90.00
Space group Imm2 (No. 44)
Symmetry-distinct sites (fractional):
Re1 0.0000 0.0000 0.0000
Ir1 0.0000 0.0000 0.3381
Rh1 0.0000 0.0000 0.6669

Properties
Uncorrected energy = -10.594 eV/atom
Excess energy over the best structure of this formula in the dataset = 0.0 meV per atom
DOS(E_F) = 6.01 states/eV/cell
DFT formation energy = -162 meV/atom